A geometry-optimized GePtO structure, computed with PBE.

The crystal system is monoclinic. The total DFT energy (no corrections) is -34.08 eV per cell.

Geometry as CIF:
```
data_GePtO
_space_group_name_H-M_alt 'P 1 2/m 1'
_space_group_IT_number 10
_space_group_name_Hall '-P 2y'
_cell_length_a 5.6920
_cell_length_b 2.8412
_cell_length_c 5.7069
_cell_angle_alpha 90.00
_cell_angle_beta 107.03
_cell_angle_gamma 90.00
loop_
_atom_site_label
_atom_site_type_symbol
_atom_site_fract_x
_atom_site_fract_y
_atom_site_fract_z
Ge1 Ge 0.0000 0.0000 0.0000
Ge2 Ge 0.5000 0.5000 0.5000
Pt1 Pt 0.2165 0.0000 0.6526
O1 O 0.2225 0.5000 0.1343
```